[1]
Nd3RuBr3 (PBE, relaxed); spin magnetization = 0.000 μB/cell
1.0
4.223 0.000 0.000
0.000 9.001 -0.407
0.000 0.074 12.192
Nd Br Ru
6 6 2
Direct
0.250 0.882 0.162
0.750 0.684 0.382
0.750 0.106 0.384
0.250 0.894 0.616
0.250 0.316 0.618
0.750 0.118 0.838
0.750 0.599 0.628
0.250 0.352 0.870
0.250 0.401 0.372
0.250 0.882 0.887
0.750 0.648 0.130
0.750 0.118 0.113
0.750 0.106 0.619
0.250 0.894 0.381

---

[2]
Nd3RuBr2 (PBE, relaxed); spin magnetization = 0.000 μB/cell
1.0
-1.984 -0.741 -3.377
2.968 -5.118 -0.621
-5.756 -0.592 5.865
Nd Br Ru
3 2 1
Direct
0.373 0.373 0.745
0.627 0.627 0.255
0.000 0.000 0.000
0.317 0.817 0.634
0.683 0.183 0.366
0.000 0.500 0.000

---

[3]
Nd2RuBr (PBE, relaxed); spin magnetization = 0.000 μB/cell
1.0
-0.496 -4.006 0.542
2.891 -2.594 -1.225
4.292 -1.670 6.894
Br Ru Nd
1 1 2
Direct
0.499 0.499 0.503
0.667 0.667 0.999
0.066 0.066 0.802
0.268 0.268 0.195

---

Number 1: raw formation energy -1.241 eV/atom. Number 2: raw formation energy -0.914 eV/atom. Number 3: raw formation energy -0.730 eV/atom.